Computed, not measured: an optimized crystal structure of SrYGa at the GGA-PBE level of DFT.

Cell lengths 3.9176, 8.7362, 5.5454 Å; angles 90.01, 90.00, 77.05 degrees
Fractional coordinates of all 6 atoms:
1 Ga 0.5957 0.7438 0.4876
2 Y 0.4141 0.1073 0.9872
3 Sr 0.1173 0.7007 0.9874
4 Ga 0.7850 0.3656 0.9870
5 Y 0.9667 0.0021 0.4872
6 Sr 0.2635 0.4087 0.4871

Values from the calculation:
- Energy above the most stable polymorph in this dataset: 0.0884 eV/atom
- E_form: -0.28 eV/atom
- Spin magnetization: 0.000 μB per formula unit